Below is an optimized crystal structure of CuAg3Cl2F6, with properties calculated at the GGA-PBE level.

Calculated values
- Formation energy (no corrections): -11.93 eV/f.u.
- Mass density: 4.86 g/cm³
- Total moment: 2.3 μB/f.u.

Cell and atoms, written as POSCAR:
```
CuAg3Cl2F6
1.0
5.036 0.000 0.465
0.000 6.422 0.000
-0.076 -3.211 6.042
F Cl Cu Ag
6 2 1 3
direct
0.706 0.293 0.134 F
0.294 0.707 0.866 F
0.294 0.159 0.866 F
0.287 0.137 0.275 F
0.713 0.863 0.725 F
0.706 0.841 0.134 F
0.819 0.317 0.634 Cl
0.181 0.683 0.366 Cl
0.500 0.000 0.000 Cu
0.500 0.000 0.500 Ag
0.500 0.500 0.500 Ag
0.000 0.500 0.000 Ag
```

---

Below is an optimized crystal structure of CuAg2Cl3F, with properties calculated at the GGA-PBE level.

Calculated values
- Formation energy (no corrections): -4.14 eV/f.u.
- Mass density: 5.00 g/cm³
- Total moment: 0.0 μB/f.u.

Cell and atoms, written as POSCAR:
```
CuAg2Cl3F
1.0
3.829 0.000 0.000
0.000 4.702 0.000
-1.915 -2.351 7.467
Ag Cl Cu F
2 3 1 1
direct
0.347 0.347 0.694 Ag
0.653 0.653 0.306 Ag
0.000 0.500 0.000 Cl
0.827 0.827 0.654 Cl
0.173 0.173 0.346 Cl
0.000 0.000 0.000 Cu
0.500 0.000 0.000 F
```

---

Below is an optimized crystal structure of CuAg5Cl4F2, with properties calculated at the GGA-PBE level.

Calculated values
- Formation energy (no corrections): -7.10 eV/f.u.
- Mass density: 5.12 g/cm³
- Total moment: 0.2 μB/f.u.

Cell and atoms, written as POSCAR:
```
CuAg5Cl4F2
1.0
5.806 0.000 0.000
-2.903 5.883 0.000
0.000 0.000 7.427
Cl Ag F Cu
4 5 2 1
direct
0.389 0.317 0.000 Cl
0.073 0.683 0.000 Cl
0.680 0.000 0.738 Cl
0.680 0.000 0.262 Cl
0.666 0.593 0.258 Ag
0.073 0.407 0.258 Ag
0.073 0.407 0.742 Ag
0.666 0.593 0.742 Ag
0.330 0.000 0.500 Ag
0.971 0.639 0.500 F
0.332 0.361 0.500 F
0.472 0.000 0.000 Cu
```